LaEr3Th4Se8 (PBE, optimized geometry); ΔE_f (raw) = -1.648 eV/atom; V = 405.9 Å³ per cell; crystal system = trigonal
1.0
8.120 0.000 0.000
0.000 8.511 0.269
-4.060 -4.056 5.745
Se Th La Er
8 4 1 3
Direct
0.264 0.263 0.014 Se
0.256 0.269 0.513 Se
0.736 0.737 0.986 Se
0.749 0.263 0.498 Se
0.749 0.263 0.014 Se
0.744 0.731 0.487 Se
0.251 0.737 0.502 Se
0.251 0.737 0.986 Se
0.000 0.000 0.000 Th
0.500 0.000 0.500 Th
0.500 0.000 0.000 Th
0.000 0.000 0.500 Th
0.000 0.500 0.000 La
0.500 0.500 0.000 Er
0.000 0.500 0.500 Er
0.500 0.500 0.500 Er

=====

Na3Cd2SnO6 (PBE, optimized geometry); ΔE_f (raw) = -1.366 eV/atom; V = 158.8 Å³ per cell; crystal system = monoclinic
1.0
-2.847 2.880 -4.077
0.413 -5.723 -0.316
-3.848 0.475 4.419
O Cd Sn Na
6 2 1 3
Direct
0.623 0.928 0.780 O
0.232 0.232 0.786 O
0.377 0.072 0.220 O
0.928 0.623 0.780 O
0.072 0.377 0.220 O
0.768 0.768 0.214 O
0.333 0.667 0.000 Cd
0.667 0.333 0.000 Cd
0.000 0.000 0.000 Sn
0.500 0.500 0.500 Na
0.830 0.170 0.500 Na
0.170 0.830 0.500 Na

=====

La7Bi3N2 (PBE, optimized geometry); ΔE_f (raw) = -1.014 eV/atom; V = 348.8 Å³ per cell; crystal system = tetragonal
1.0
-3.618 1.894 3.009
-3.533 -1.431 -3.347
2.504 -12.213 6.422
N La Bi
2 7 3
Direct
0.100 0.100 0.200 N
0.900 0.900 0.800 N
0.590 0.090 0.181 La
0.910 0.410 0.819 La
0.090 0.590 0.181 La
0.809 0.809 0.618 La
0.410 0.910 0.819 La
0.000 0.000 0.000 La
0.191 0.191 0.382 La
0.500 0.500 0.000 Bi
0.682 0.682 0.364 Bi
0.318 0.318 0.636 Bi

=====

HfZr4Cd (PBE, optimized geometry); V = 136.0 Å³ per cell; formation enthalpy at 0 K = -0.032 eV/atom; crystal system = tetragonal
1.0
-3.126 0.119 -0.435
-0.429 -1.722 2.612
-0.600 11.417 7.430
Hf Zr Cd
1 4 1
Direct
0.000 0.000 0.000 Hf
0.500 0.500 0.164 Zr
0.000 0.000 0.666 Zr
0.000 0.000 0.334 Zr
0.500 0.500 0.836 Zr
0.500 0.500 0.500 Cd

=====

LaCoCl2 (PBE, optimized geometry); ΔE_f (raw) = -1.116 eV/atom; V = 110.0 Å³ per cell; crystal system = monoclinic
1.0
0.016 -1.918 -7.040
3.645 -1.038 -6.235
0.646 -3.836 1.279
Cl Co La
2 1 1
Direct
0.109 0.109 0.000 Cl
0.391 0.391 0.500 Cl
0.250 0.250 0.250 Co
0.750 0.750 0.750 La

=====

Al4ZnNi7 (PBE, optimized geometry); V = 156.5 Å³ per cell; formation enthalpy at 0 K = -0.226 eV/atom; crystal system = monoclinic
1.0
4.348 0.000 0.000
2.174 7.743 -0.049
2.174 0.324 4.647
Ni Zn Al
7 1 4
Direct
0.500 0.000 0.000 Ni
0.062 0.660 0.216 Ni
0.790 0.918 0.502 Ni
0.210 0.082 0.498 Ni
0.938 0.340 0.784 Ni
0.637 0.482 0.243 Ni
0.363 0.518 0.757 Ni
0.000 0.000 0.000 Zn
0.405 0.775 0.416 Al
0.752 0.673 0.823 Al
0.248 0.327 0.177 Al
0.595 0.225 0.584 Al

=====

LiMnRh3 (PBE, optimized geometry); V = 66.7 Å³ per cell; formation enthalpy at 0 K = 0.875 eV/atom; crystal system = cubic
1.0
4.055 0.000 0.000
0.000 4.055 0.000
0.000 0.000 4.055
Rh Li Mn
3 1 1
Direct
0.000 0.500 0.000 Rh
0.000 0.000 0.500 Rh
0.500 0.000 0.000 Rh
0.000 0.000 0.000 Li
0.500 0.500 0.500 Mn

=====

TaRe2Tc (PBE, optimized geometry); V = 63.0 Å³ per cell; formation enthalpy at 0 K = 0.123 eV/atom; crystal system = trigonal
1.0
9.554 0.022 0.013
9.143 2.769 0.013
9.143 1.365 2.410
Ta Tc Re
1 1 2
Direct
0.250 0.250 0.250 Ta
0.750 0.750 0.750 Tc
0.005 0.005 0.005 Re
0.495 0.495 0.495 Re

=====

SmBiRh4 (PBE, optimized geometry); V = 110.0 Å³ per cell; formation enthalpy at 0 K = -0.369 eV/atom; crystal system = cubic
1.0
5.378 0.000 0.000
2.689 4.657 0.000
2.689 1.552 4.391
Sm Rh Bi
1 4 1
Direct
0.250 0.250 0.250 Sm
0.626 0.626 0.626 Rh
0.626 0.626 0.123 Rh
0.123 0.626 0.626 Rh
0.626 0.123 0.626 Rh
0.000 0.000 0.000 Bi

=====

CdHg2Au (PBE, optimized geometry); V = 189.0 Å³ per cell; formation enthalpy at 0 K = 0.027 eV/atom; crystal system = tetragonal
1.0
-2.865 3.090 0.821
-1.542 -0.369 -3.990
-8.894 -5.704 1.656
Cd Hg Au
2 4 2
Direct
0.500 0.500 0.000 Cd
0.250 0.750 0.500 Cd
0.120 0.625 0.250 Hg
0.875 0.880 0.750 Hg
0.630 0.125 0.250 Hg
0.375 0.370 0.750 Hg
0.750 0.250 0.500 Au
0.000 0.000 0.000 Au

=====

Zr2Sb (PBE, optimized geometry); ΔE_f (raw) = -0.603 eV/atom; V = 206.7 Å³ per cell; crystal system = hexagonal
1.0
-6.639 -2.055 -3.343
6.717 -1.846 -3.308
0.049 -3.460 2.030
Zr Sb
6 3
Direct
0.000 0.258 0.000 Zr
0.593 0.000 0.500 Zr
0.258 0.000 0.000 Zr
0.000 0.593 0.500 Zr
0.407 0.407 0.500 Zr
0.742 0.742 0.000 Zr
0.333 0.667 0.000 Sb
0.667 0.333 0.000 Sb
0.000 0.000 0.500 Sb

=====

Mg3NiSn3Ir2 (PBE, optimized geometry); V = 162.2 Å³ per cell; formation enthalpy at 0 K = -0.330 eV/atom; crystal system = hexagonal
1.0
-1.728 1.413 2.500
-5.645 -4.747 -1.217
5.445 -1.817 4.790
Mg Sn Ir Ni
3 3 2 1
Direct
0.000 0.391 0.000 Mg
0.000 0.000 0.391 Mg
0.000 0.609 0.609 Mg
0.500 0.273 0.273 Sn
0.500 0.727 0.000 Sn
0.500 0.000 0.727 Sn
0.500 0.333 0.667 Ir
0.500 0.667 0.333 Ir
0.000 0.000 0.000 Ni

=====

InCuPS2 (PBE, optimized geometry); ΔE_f (raw) = 1.062 eV/atom; V = 124.7 Å³ per cell; crystal system = tetragonal
1.0
-3.608 3.160 -1.384
0.217 -1.791 -4.654
-3.452 -3.433 1.160
Cu S P In
1 2 1 1
Direct
0.500 0.500 0.500 Cu
0.500 0.000 0.000 S
0.000 0.500 0.000 S
0.000 0.000 0.500 P
0.000 0.000 0.000 In

=====

Ac2Tb2Pr5 (PBE, optimized geometry); V = 338.5 Å³ per cell; formation enthalpy at 0 K = 0.099 eV/atom; crystal system = monoclinic
1.0
3.612 0.000 -0.745
0.164 10.220 0.794
0.032 1.462 9.282
Ac Pr Tb
2 5 2
Direct
0.485 0.684 0.970 Ac
0.515 0.316 0.030 Ac
0.000 0.000 0.000 Pr
0.336 0.205 0.673 Pr
0.664 0.795 0.327 Pr
0.162 0.475 0.324 Pr
0.838 0.525 0.676 Pr
0.828 0.906 0.655 Tb
0.172 0.094 0.345 Tb

=====

HoAl2ZnCu4 (PBE, optimized geometry); V = 124.3 Å³ per cell; formation enthalpy at 0 K = -0.241 eV/atom; crystal system = trigonal
1.0
-0.120 0.890 4.068
-3.549 -0.471 2.132
0.873 -7.660 3.834
Cu Zn Ho Al
4 1 1 2
Direct
0.599 0.599 0.203 Cu
0.401 0.401 0.797 Cu
0.131 0.131 0.607 Cu
0.869 0.869 0.393 Cu
0.500 0.500 0.500 Zn
0.000 0.000 0.000 Ho
0.758 0.758 0.727 Al
0.242 0.242 0.273 Al

=====

Pm2PrTm2 (PBE, optimized geometry); V = 335.2 Å³ per cell; formation enthalpy at 0 K = 0.080 eV/atom; crystal system = tetragonal
1.0
3.805 0.000 0.000
0.000 9.385 0.000
0.000 0.000 9.385
Pm Tm Pr
4 4 2
Direct
0.000 0.372 0.128 Pm
0.000 0.128 0.628 Pm
0.000 0.628 0.872 Pm
0.000 0.872 0.372 Pm
0.500 0.831 0.669 Tm
0.500 0.169 0.331 Tm
0.500 0.331 0.831 Tm
0.500 0.669 0.169 Tm
0.000 0.500 0.500 Pr
0.000 0.000 0.000 Pr

=====

Lu2AlSi (PBE, optimized geometry); ΔE_f (raw) = -0.409 eV/atom; V = 83.7 Å³ per cell; crystal system = tetragonal
1.0
-2.030 2.840 1.931
-3.451 -0.441 -2.980
-1.908 -3.187 2.681
Si Al Lu
1 1 2
Direct
0.500 0.500 0.500 Si
0.500 0.000 0.000 Al
0.000 0.500 0.000 Lu
0.000 0.000 0.500 Lu

=====

As2WBr4 (PBE, optimized geometry); ΔE_f (raw) = 0.430 eV/atom; V = 238.6 Å³ per cell; crystal system = tetragonal
1.0
-0.125 -1.336 -5.528
5.028 -2.608 0.517
-0.992 -8.293 -0.899
As Br W
2 4 1
Direct
0.578 0.578 0.844 As
0.422 0.422 0.156 As
0.000 0.500 0.000 Br
0.831 0.831 0.337 Br
0.500 0.000 0.000 Br
0.169 0.169 0.663 Br
0.000 0.000 0.000 W

=====

PuTi3B4O12 (PBE, optimized geometry); ΔE_f (raw) = -2.630 eV/atom; V = 211.8 Å³ per cell; crystal system = trigonal
1.0
-3.262 2.437 4.677
3.221 -4.603 2.625
4.271 4.308 -1.286
O B Pu Ti
12 4 1 3
Direct
0.965 0.216 0.376 O
0.917 0.500 0.083 O
0.083 0.917 0.500 O
0.216 0.376 0.965 O
0.500 0.083 0.917 O
0.358 0.642 0.500 O
0.784 0.035 0.624 O
0.642 0.500 0.358 O
0.376 0.965 0.216 O
0.624 0.784 0.035 O
0.500 0.358 0.642 O
0.035 0.624 0.784 O
0.500 0.500 0.500 B
0.500 0.940 0.060 B
0.940 0.060 0.500 B
0.060 0.500 0.940 B
0.000 0.000 0.000 Pu
0.443 0.000 0.557 Ti
0.000 0.557 0.443 Ti
0.557 0.443 0.000 Ti

=====

Ba3SrHg4 (PBE, optimized geometry); V = 577.5 Å³ per cell; formation enthalpy at 0 K = -0.520 eV/atom; crystal system = tetragonal
1.0
5.875 0.000 0.000
0.000 8.369 0.000
0.000 0.000 11.745
Ba Sr Hg
6 2 8
Direct
0.499 0.000 0.250 Ba
0.501 0.500 0.750 Ba
0.000 0.000 0.500 Ba
0.000 0.000 0.000 Ba
0.501 0.000 0.750 Ba
0.499 0.500 0.250 Ba
0.000 0.500 0.500 Sr
0.000 0.500 0.000 Sr
0.500 0.743 0.000 Hg
0.500 0.743 0.500 Hg
0.001 0.257 0.750 Hg
0.500 0.257 0.500 Hg
0.999 0.257 0.250 Hg
0.500 0.257 0.000 Hg
0.999 0.743 0.250 Hg
0.001 0.743 0.750 Hg

=====

Ag2MoW (PBE, optimized geometry); V = 67.5 Å³ per cell; formation enthalpy at 0 K = 0.757 eV/atom; crystal system = cubic
1.0
4.569 0.000 0.000
2.285 3.957 0.000
2.285 1.319 3.731
Ag Mo W
2 1 1
Direct
0.000 0.000 0.000 Ag
0.250 0.250 0.250 Ag
0.500 0.500 0.500 Mo
0.750 0.750 0.750 W

=====

Ca4HfP2 (PBE, optimized geometry); V = 218.7 Å³ per cell; formation enthalpy at 0 K = 0.495 eV/atom; crystal system = tetragonal
1.0
5.327 0.000 0.000
0.000 5.327 0.000
2.664 2.664 7.706
Ca Hf P
4 1 2
Direct
0.200 0.200 0.600 Ca
0.800 0.800 0.400 Ca
0.500 0.000 0.000 Ca
0.000 0.500 0.000 Ca
0.000 0.000 0.000 Hf
0.621 0.621 0.759 P
0.379 0.379 0.241 P

=====

La2Ag5Sn3 (PBE, optimized geometry); V = 253.5 Å³ per cell; formation enthalpy at 0 K = -0.210 eV/atom; crystal system = tetragonal
1.0
4.565 0.000 0.000
0.000 4.565 0.000
0.000 0.000 12.161
La Ag Sn
2 5 3
Direct
0.500 0.000 0.230 La
0.000 0.500 0.770 La
0.000 0.000 0.000 Ag
0.500 0.500 0.000 Ag
0.500 0.500 0.500 Ag
0.000 0.500 0.126 Ag
0.500 0.000 0.874 Ag
0.500 0.000 0.656 Sn
0.000 0.500 0.344 Sn
0.000 0.000 0.500 Sn

=====

Nd4IrSeBr2 (PBE, optimized geometry); ΔE_f (raw) = -1.280 eV/atom; V = 235.5 Å³ per cell; crystal system = monoclinic
1.0
-2.539 -1.955 -2.607
-1.517 -5.200 5.378
-5.230 5.792 0.750
Nd Br Ir Se
4 2 1 1
Direct
0.000 0.710 0.201 Nd
0.500 0.751 0.792 Nd
0.000 0.290 0.799 Nd
0.500 0.249 0.208 Nd
0.500 0.000 0.500 Br
0.000 0.500 0.500 Br
0.500 0.500 0.000 Ir
0.000 0.000 0.000 Se